No. 1
DFT (PBE) results for crystalline PmAl3Ir2 at its relaxed geometry.

Output
As for the space group: Cmcm. The value obtained for the total energy is -6.453 eV per atom. The calculation puts the formation enthalpy at 0 K at -0.836 eV/atom. The value obtained for the energy above the most stable polymorph in this dataset is 0 meV/atom.

Lattice parameters (Å, degrees): 5.6406 6.2657 6.2657 100.34 90.00 90.00
Sites, in units of the cell vectors:
Al  0.2500  0.9025  0.5444
Pm  0.2500  0.3572  0.3572
Al  0.7500  0.0318  0.0318
Al  0.2500  0.9682  0.9682
Al  0.2500  0.5444  0.9025
Ir  0.5000  0.2161  0.7839
Ir  0.5000  0.7839  0.2161
Al  0.7500  0.4556  0.0975
Pm  0.7500  0.6428  0.6428
Ir  0.0000  0.2161  0.7839
Ir  0.0000  0.7839  0.2161
Al  0.7500  0.0975  0.4556

---

No. 2
DFT (PBE) results for crystalline Pm4Pr2SmTm2 at its relaxed geometry.

Output
As for the space group: C2/m. The value obtained for the total energy is -4.670 eV per atom. The calculation puts the formation enthalpy at 0 K at 0.021 eV/atom.

Lattice parameters (Å, degrees): 5.1370 8.1251 8.0849 107.63 90.00 108.43
Sites, in units of the cell vectors:
Tm  0.3325  0.6650  0.9999
Sm  0.0000  0.0000  0.0000
Tm  0.6675  0.3350  0.0001
Pm  0.7786  0.5572  0.6704
Pr  0.8882  0.7763  0.3315
Pm  0.4444  0.8889  0.6698
Pr  0.1118  0.2237  0.6685
Pm  0.2214  0.4428  0.3296
Pm  0.5556  0.1111  0.3302

---

No. 3
DFT (PBE) results for crystalline Sc5Te6 at its relaxed geometry.

Output
As for the space group: C2/m. The value obtained for the total energy is -5.803 eV per atom. The energy relative to the elements, uncorrected is -1212 meV per atom.

Lattice parameters (Å, degrees): 7.1784 7.1553 7.1614 80.33 70.43 59.89
Sites, in units of the cell vectors:
Sc  0.6639  0.6722  0.0000
Te  0.7571  0.0000  0.7529
Te  0.0805  0.3258  0.7558
Sc  0.3361  0.3278  0.0000
Sc  0.8299  0.3402  0.5000
Te  0.2429  0.0000  0.2471
Te  0.4063  0.6742  0.7558
Te  0.5937  0.3258  0.2442
Sc  0.1701  0.6598  0.5000
Sc  0.5000  0.0000  0.5000
Te  0.9195  0.6742  0.2442